# Ho2MgAg2W4O16 (PBE with a Hubbard U, optimized geometry)
data_Ho2MgAg2W4O16
_chemical_formula_sum 'Ho2 Mg1 Ag2 W4 O16'
_cell_length_a 7.378
_cell_length_b 7.538
_cell_length_c 7.805
_cell_angle_alpha 63.44
_cell_angle_beta 63.52
_cell_angle_gamma 67.89
_symmetry_space_group_name_H-M 'P 1'
_symmetry_Int_Tables_number 1
loop_
_symmetry_equiv_pos_as_xyz
'x,y,z'
loop_
_atom_site_label
_atom_site_type_symbol
_atom_site_fract_x
_atom_site_fract_y
_atom_site_fract_z
Ho1 Ho 0.000 0.000 0.000
Ho2 Ho 0.492 0.448 0.445
Mg1 Mg 0.199 0.755 0.689
Ag1 Ag 0.040 0.177 0.440
Ag2 Ag 0.468 0.360 0.968
W1 W 0.517 0.974 0.467
W2 W 0.605 0.868 0.883
W3 W 0.891 0.581 0.559
W4 W 0.981 0.471 0.975
O1 O 0.054 0.679 0.000
O2 O 0.169 0.556 0.417
O3 O 0.225 0.021 0.659
O4 O 0.278 0.448 0.768
O5 O 0.329 0.918 0.011
O6 O 0.427 0.801 0.420
O7 O 0.506 0.231 0.277
O8 O 0.579 0.722 0.719
O9 O 0.586 0.089 0.616
O10 O 0.666 0.606 0.091
O11 O 0.710 0.017 0.934
O12 O 0.763 0.449 0.495
O13 O 0.805 0.861 0.337
O14 O 0.907 0.352 0.824
O15 O 0.917 0.738 0.716
O16 O 0.988 0.210 0.163
# - Energy relative to the lowest polymorph listed for this composition: 0.40 eV per formula unit
# - Total magnetization: 0.080 μB per atom